A geometry-optimized Ti6PPb2 structure, computed with PBE-GGA.

Summary:
Magnetic moment in μB per formula unit: 0.000
E_form in eV per atom: -0.442
Theoretical density in g/cm3: 7.4
Crystal system: hexagonal
Energy in eV/atom: -7.130
Calculated volume in Å³ per cell: 163.89
Fermi-level density of states in states/eV per cell: 6.3

Cell: 3.549 7.302 7.302 Å, 120.00 90.00 90.00°
Sites, in units of the cell vectors:
1 Ti 0.000 0.233 0.000
2 Ti 0.500 0.641 0.000
3 Ti 0.000 0.000 0.233
4 Ti 0.500 0.000 0.641
5 Ti 0.000 0.767 0.767
6 Ti 0.500 0.359 0.359
7 Pb 0.000 0.667 0.333
8 Pb 0.000 0.333 0.667
9 P 0.500 0.000 0.000



A geometry-optimized TiP3Pb structure, computed with PBE-GGA.

Summary:
Magnetic moment in μB per formula unit: 0.000
E_form in eV per atom: 0.080
Theoretical density in g/cm3: 5.3
Crystal system: cubic
Energy in eV/atom: -5.486
Offset from the most stable computed form in eV per atom: 0.000
Calculated volume in Å³ per cell: 108.89
Fermi-level density of states in states/eV per cell: 2.7

Cell: 4.775 4.775 4.775 Å, 90.00 90.00 90.00°
Sites, in units of the cell vectors:
1 Pb 0.500 0.500 0.500
2 Ti 0.000 0.000 0.000
3 P 0.000 0.000 0.500
4 P 0.500 0.000 0.000
5 P 0.000 0.500 0.000



A geometry-optimized TiTl2PPb structure, computed with PBE-GGA.

Summary:
Magnetic moment in μB per formula unit: 0.000
E_form in eV per atom: 0.223
Theoretical density in g/cm3: 8.2
Crystal system: tetragonal
Energy in eV/atom: -4.126
Calculated volume in Å³ per cell: 141.03
Fermi-level density of states in states/eV per cell: 2.7

Cell: 5.481 4.694 5.481 Å, 90.00 90.00 90.00°
Sites, in units of the cell vectors:
1 P 0.000 0.500 0.000
2 Pb 0.500 0.500 0.500
3 Tl 0.500 0.000 0.000
4 Tl 0.000 0.000 0.500
5 Ti 0.000 0.000 0.000



A geometry-optimized TiV2PPb structure, computed with PBE-GGA.

Summary:
Magnetic moment in μB per formula unit: 6.203
E_form in eV per atom: 1.872
Theoretical density in g/cm3: 4.9
Crystal system: tetragonal
Energy in eV/atom: -5.178
Calculated volume in Å³ per cell: 132.13
Fermi-level density of states in states/eV per cell: 9.3

Cell: 5.061 5.158 5.061 Å, 90.00 90.00 90.00°
Each line ends with the local moment (μB).
Sites, in units of the cell vectors:
1 P 0.000 0.500 0.000  -0.07
2 Pb 0.000 0.000 0.000  -0.04
3 V 0.500 0.000 0.000  2.39
4 V 0.000 0.000 0.500  2.61
5 Ti 0.500 0.500 0.500  0.14



A geometry-optimized Tl2PPb structure, computed with PBE-GGA.

Summary:
Magnetic moment in μB per formula unit: 0.000
E_form in eV per atom: 0.308
Theoretical density in g/cm3: 9.8
Crystal system: monoclinic
Energy in eV/atom: -3.155
Offset from the most stable computed form in eV per atom: 0.224
Calculated volume in Å³ per cell: 109.60
Fermi-level density of states in states/eV per cell: 1.9

Cell: 6.092 6.092 3.326 Å, 86.09 86.09 116.43°
Sites, in units of the cell vectors:
1 Pb 0.000 0.000 0.500
2 Tl 0.500 0.000 0.000
3 Tl 0.000 0.500 0.000
4 P 0.500 0.500 0.500



A geometry-optimized TlPPb2 structure, computed with PBE-GGA.

Summary:
Magnetic moment in μB per formula unit: 0.000
E_form in eV per atom: 0.313
Theoretical density in g/cm3: 9.9
Crystal system: cubic
Energy in eV/atom: -3.486
Offset from the most stable computed form in eV per atom: 0.236
Calculated volume in Å³ per cell: 109.26
Fermi-level density of states in states/eV per cell: 2.8

Cell: 5.366 5.366 5.366 Å, 60.00 60.00 60.00°
Sites, in units of the cell vectors:
1 Pb 0.750 0.750 0.750
2 Pb 0.000 0.000 0.000
3 P 0.500 0.500 0.500
4 Tl 0.250 0.250 0.250



Q: Which value of E_form does entry 5 give?
A: 0.308 eV per atom